[1]
Computed, not measured: crystalline Ac4Se3N2 at its relaxed geometry at the PBE level of DFT.

The space group is C2/m (No. 12) and the conventional cell measures 14.6250, 4.3232 and 10.9998 Å, with angles of 90.00, 128.88 and 90.00 degrees. The inequivalent atoms are Ac at (0.1111, 0.0000, 0.3684), Ac at (0.2023, 0.5000, 0.1419), Se at (0.0000, 0.0000, 0.0000), Se at (0.1113, 0.5000, 0.7667) and N at (0.2038, 0.5000, 0.3584).

=====

[2]
Computed, not measured: crystalline Ac3Se2N at its relaxed geometry at the PBE level of DFT.

The calculation puts the polymorph energy (0 for the lowest one) at 0.00 kJ per mole of atoms.

The space group is Cmc2_1 (No. 36) and the conventional cell measures 15.0116, 8.6658 and 6.2597 Å, with angles of 90.00, 90.00 and 90.00 degrees. The inequivalent atoms are Ac at (0.0000, 0.1137, 0.0000), Ac at (0.1460, 0.2902, 0.4812), Se at (0.1572, 0.3477, 0.9840) and N at (0.0000, 0.1683, 0.4496).

=====

[3]
Computed, not measured: crystalline Ac3Se2N at its relaxed geometry at the PBE level of DFT.

The calculation puts the polymorph energy (0 for the lowest one) at 2.48 kJ per mole of atoms.

The space group is Cmcm (No. 63) and the conventional cell measures 12.7506, 7.5492 and 7.7144 Å, with angles of 90.00, 90.00 and 90.00 degrees. The inequivalent atoms are Ac at (0.0000, 0.0814, 0.2500), Ac at (0.1409, 0.5000, 0.0000), Se at (0.1944, 0.1848, 0.7500) and N at (0.0000, 0.4042, 0.2500).

=====

[4]
Computed, not measured: crystalline AcSeN2 at its relaxed geometry at the PBE level of DFT.

The space group is C2/m (No. 12) and the conventional cell measures 10.0990, 5.4806 and 5.9683 Å, with angles of 90.00, 90.12 and 90.00 degrees. The inequivalent atoms are Ac at (0.2309, 0.0000, 0.2499), Se at (0.0883, 0.0000, 0.7497), N at (0.1261, 0.5000, 0.1515) and N at (0.1258, 0.5000, 0.3479).

=====

[5]
Computed, not measured: crystalline Ac6Se5N2 at its relaxed geometry at the PBE level of DFT.

The space group is Pbam (No. 55) and the conventional cell measures 12.0560, 14.8155 and 4.1870 Å, with angles of 90.00, 90.00 and 90.00 degrees. The inequivalent atoms are Ac at (0.0093, 0.1268, 0.0000), Ac at (0.1720, 0.3158, 0.5000), Ac at (0.1715, 0.6040, 0.0000), Se at (0.0000, 0.5000, 0.5000), Se at (0.0826, 0.7416, 0.5000), Se at (0.1611, 0.9995, 0.5000) and N at (0.1710, 0.2206, 0.0000).

=====

[6]
Computed, not measured: crystalline Ac5SeN4 at its relaxed geometry at the PBE level of DFT.

The space group is Immm (No. 71) and the conventional cell measures 3.9447, 5.8689 and 20.2096 Å, with angles of 90.00, 90.00 and 90.00 degrees. The inequivalent atoms are Ac at (0.0000, 0.0000, 0.0000), Ac at (0.0000, 0.0000, 0.1962), Ac at (0.0000, 0.0000, 0.3807), Se at (0.0000, 0.5000, 0.0000), N at (0.0000, 0.5000, 0.2015) and N at (0.0000, 0.5000, 0.3960).

=====

[7]
Computed, not measured: crystalline Ac3Se2N2 at its relaxed geometry at the PBE level of DFT.

The calculation puts the polymorph energy (0 for the lowest one) at 0.00 kJ per mole of atoms.

The space group is C2/m (No. 12) and the conventional cell measures 13.4695, 4.2667 and 7.6552 Å, with angles of 90.00, 121.18 and 90.00 degrees. The inequivalent atoms are Ac at (0.0000, 0.0000, 0.0000), Ac at (0.1973, 0.0000, 0.7442), Se at (0.0757, 0.5000, 0.3469) and N at (0.1948, 0.0000, 0.0735).

=====

[8]
Computed, not measured: crystalline Ac4Se2N at its relaxed geometry at the PBE level of DFT.

The space group is I4/mmm (No. 139) and the conventional cell measures 4.8622, 4.8622 and 21.2937 Å, with angles of 90.00, 90.00 and 90.00 degrees. The inequivalent atoms are Ac at (0.0000, 0.0000, 0.1793), Ac at (0.0000, 0.5000, 0.0000), Se at (0.0000, 0.0000, 0.3246) and N at (0.0000, 0.0000, 0.5000).

=====

[9]
Computed, not measured: crystalline Ac3Se3N at its relaxed geometry at the PBE level of DFT.

The calculation puts the polymorph energy (0 for the lowest one) at 5.29 kJ per mole of atoms.

The space group is C2/m (No. 12) and the conventional cell measures 8.6461, 13.0972 and 7.7232 Å, with angles of 90.00, 100.62 and 90.00 degrees. The inequivalent atoms are Ac at (0.1026, 0.0000, 0.3155), Ac at (0.1914, 0.3511, 0.2258), Se at (0.0000, 0.1661, 0.0000), Se at (0.0000, 0.2407, 0.5000), Se at (0.1060, 0.5000, 0.8479) and N at (0.1791, 0.0000, 0.6447).

=====

[10]
Computed, not measured: crystalline Ac3Se3N at its relaxed geometry at the PBE level of DFT.

The calculation puts the polymorph energy (0 for the lowest one) at 0.00 kJ per mole of atoms.

The space group is P2_1/c (No. 14) and the conventional cell measures 8.7736, 7.8144 and 12.3849 Å, with angles of 90.00, 99.32 and 90.00 degrees. The inequivalent atoms are Ac at (0.0712, 0.0609, 0.3718), Ac at (0.2496, 0.6325, 0.5144), Ac at (0.3772, 0.0726, 0.6554), Se at (0.0953, 0.1705, 0.1210), Se at (0.2860, 0.7389, 0.7816), Se at (0.4015, 0.2421, 0.9153) and N at (0.1768, 0.5773, 0.0394).

=====

[11]
Computed, not measured: crystalline Ac2SmSe2N2 at its relaxed geometry at the PBE level of DFT.

The space group is I4/mmm (No. 139) and the conventional cell measures 4.5438, 4.5438 and 16.0293 Å, with angles of 90.00, 90.00 and 90.00 degrees. The inequivalent atoms are Ac at (0.0000, 0.0000, 0.1183), Sm at (0.0000, 0.0000, 0.5000), Se at (0.0000, 0.0000, 0.3185) and N at (0.0000, 0.5000, 0.0000).

=====

[12]
Computed, not measured: crystalline SrAcSeN at its relaxed geometry at the PBE level of DFT.

The space group is R3m (No. 160, hexagonal axes) and the conventional cell measures 4.0983, 4.0983 and 21.1666 Å, with angles of 90.00, 90.00 and 120.00 degrees. The inequivalent atoms are Sr at (0.0000, 0.0000, 0.0000), Ac at (0.0000, 0.0000, 0.5278), Se at (0.0000, 0.0000, 0.7578) and N at (0.0000, 0.0000, 0.2498).

=====

| no. | formation energy from raw total energies (meV per atom) |
| --- | --- |
| 1 | -1747 |
| 2 | -1452 |
| 3 | -1426 |
| 4 | -747 |
| 5 | -1747 |
| 6 | -1161 |
| 7 | -1487 |
| 8 | -864 |
| 9 | -1816 |
| 10 | -1870 |
| 11 | -1436 |
| 12 | -1465 |